Density functional theory data (PBE) for a geometry-optimized ZrAl6 structure.

The value obtained for the formation energy is 6.28 eV per formula unit. The value obtained for the energy is -3.532 eV/atom. The calculated volume is 176.6 Å³/f.u.

The structure belongs to space group Im-3m (No. 229); the cell edges are 7.069, 7.069 and 7.069 Å and the angles 90.00°, 90.00° and 90.00°. The asymmetric unit holds Zr at (0.000, 0.000, 0.000) and Al at (0.000, 0.250, 0.500).



Density functional theory data (PBE) for a geometry-optimized ZrAl2 structure.

The value obtained for the formation energy is -0.80 eV per formula unit. The value obtained for the energy is -5.610 eV/atom. The calculated volume is 55.4 Å³/f.u.

The structure belongs to space group Immm (No. 71); the cell edges are 2.940, 3.801 and 9.914 Å and the angles 90.00°, 90.00° and 90.00°. The asymmetric unit holds Zr at (0.000, 0.000, 0.000) and Al at (0.000, 0.000, 0.318).



What is the calculated volume in the second record?
55.4 Å³/f.u.



Among the records above, which one has the highest calculated volume?
ZrAl6



The lowest energy belongs to which entry?
ZrAl2